No. 1
Density functional theory data (SCAN) for a PBEsol-optimized structure of ScCr2Re.

M_tot   0.0 μB/f.u.
E_form   228 meV per atom
Offset from the most stable computed form   0.150 eV per atom
Space-group type   C2/m, No. 12

abc: 5.281 8.365 2.652
angles: 90.00 109.46 90.00
Fractional positions:
Sc 0.000 0.000 0.000
Sc 0.500 0.500 0.000
Cr 0.250 0.250 0.500
Cr 0.250 0.750 0.500
Cr 0.750 0.250 0.500
Cr 0.750 0.750 0.500
Re 0.000 0.500 0.000
Re 0.500 0.000 0.000


No. 2
Density functional theory data (SCAN) for a PBEsol-optimized structure of ScCrRe3.

M_tot   2.0 μB/f.u.
E_form   2544 meV per atom
Space-group type   Pm-3m, No. 221

abc: 4.489 4.489 4.489
angles: 90.00 90.00 90.00
Fractional positions:
Sc 0.000 0.000 0.000
Cr 0.500 0.500 0.500
Re 0.000 0.000 0.500
Re 0.000 0.500 0.000
Re 0.500 0.000 0.000


No. 3
Density functional theory data (SCAN) for a PBEsol-optimized structure of ScCr2ReSe.

Total energy   -27.82 eV per atom
M_tot   5.2 μB/f.u.
Space-group type   P4/mmm, No. 123

abc: 4.349 4.349 4.594
angles: 90.00 90.00 90.00
Fractional positions:
Sc 0.000 0.000 0.000
Cr 0.000 0.500 0.500
Cr 0.500 0.000 0.500
Re 0.500 0.500 0.000
Se 0.500 0.500 0.500


No. 4
Density functional theory data (SCAN) for a PBEsol-optimized structure of CrReSe2.

M_tot   0.0 μB/f.u.
Offset from the most stable computed form   0.000 eV per atom
Space-group type   P4mm, No. 99

abc: 2.917 2.917 7.714
angles: 90.00 90.00 90.00
Fractional positions:
Cr 0.000 0.000 0.000
Re 0.500 0.500 0.233
Se 0.000 0.000 0.426
Se 0.500 0.500 0.828


No. 5
Density functional theory data (SCAN) for a PBEsol-optimized structure of CrReSe2.

M_tot   3.3 μB/f.u.
Offset from the most stable computed form   0.449 eV per atom
Space-group type   P2/m, No. 10

abc: 3.383 4.023 4.910
angles: 90.00 92.66 90.00
Fractional positions:
Cr 0.000 0.000 0.000
Re 0.500 0.000 0.500
Se 0.312 0.500 0.760
Se 0.688 0.500 0.240


No. 6
Density functional theory data (SCAN) for a PBEsol-optimized structure of CrReSnSe2.

Total energy   -31.28 eV per atom
M_tot   10.2 μB/f.u.
Space-group type   P4/mmm, No. 123

abc: 5.237 5.237 5.030
angles: 90.00 90.00 90.00
Fractional positions:
Cr 0.000 0.000 0.000
Re 0.500 0.500 0.000
Sn 0.000 0.000 0.500
Se 0.000 0.500 0.500
Se 0.500 0.000 0.500


No. 7
Density functional theory data (SCAN) for a PBEsol-optimized structure of CrReSi2.

Total energy   -27.34 eV per atom
M_tot   2.5 μB/f.u.
Space-group type   Immm, No. 71

abc: 2.945 4.542 7.609
angles: 90.00 90.00 90.00
Fractional positions:
Cr 0.000 0.000 0.000
Cr 0.500 0.500 0.500
Re 0.000 0.000 0.500
Re 0.500 0.500 0.000
Si 0.000 0.500 0.260
Si 0.000 0.500 0.740
Si 0.500 0.000 0.240
Si 0.500 0.000 0.760


No. 8
Density functional theory data (SCAN) for a PBEsol-optimized structure of Cr2ReSi.

Total energy   -29.53 eV per atom
M_tot   0.0 μB/f.u.
Space-group type   Pm, No. 6

abc: 2.624 3.978 4.835
angles: 90.00 104.19 90.00
Fractional positions:
Cr 0.000 0.000 0.000
Cr 0.194 0.500 0.757
Re 0.738 0.500 0.260
Si 0.431 0.000 0.520


No. 9
Density functional theory data (SCAN) for a PBEsol-optimized structure of CrReSi2.

Total energy   -27.68 eV per atom
M_tot   0.0 μB/f.u.
Space-group type   P4mm, No. 99

abc: 3.047 3.047 5.336
angles: 90.00 90.00 90.00
Fractional positions:
Cr 0.000 0.000 0.000
Re 0.500 0.500 0.307
Si 0.000 0.000 0.537
Si 0.500 0.500 0.798


No. 10
Density functional theory data (SCAN) for a PBEsol-optimized structure of CrRe3Si.

Total energy   -47.05 eV per atom
M_tot   2.4 μB/f.u.
Space-group type   Pm-3m, No. 221

abc: 4.343 4.343 4.343
angles: 90.00 90.00 90.00
Fractional positions:
Cr 0.000 0.000 0.000
Re 0.000 0.500 0.500
Re 0.500 0.000 0.500
Re 0.500 0.500 0.000
Si 0.500 0.500 0.500


No. 11
Density functional theory data (SCAN) for a PBEsol-optimized structure of Sr2CrRe.

M_tot   7.2 μB/f.u.
E_form   1137 meV per atom
Space-group type   Fm-3m, No. 225

abc: 7.414 7.414 7.414
angles: 90.00 90.00 90.00
Fractional positions:
Sr 0.250 0.250 0.250
Sr 0.250 0.250 0.750
Sr 0.250 0.750 0.250
Sr 0.250 0.750 0.750
Sr 0.750 0.250 0.250
Sr 0.750 0.250 0.750
Sr 0.750 0.750 0.250
Sr 0.750 0.750 0.750
Cr 0.000 0.000 0.000
Cr 0.000 0.500 0.500
Cr 0.500 0.000 0.500
Cr 0.500 0.500 0.000
Re 0.000 0.000 0.500
Re 0.000 0.500 0.000
Re 0.500 0.000 0.000
Re 0.500 0.500 0.500


No. 12
Density functional theory data (SCAN) for a PBEsol-optimized structure of SrCrRe3.

M_tot   1.7 μB/f.u.
E_form   3907 meV per atom
Space-group type   Pm-3m, No. 221

abc: 4.670 4.670 4.670
angles: 90.00 90.00 90.00
Fractional positions:
Sr 0.000 0.000 0.000
Cr 0.500 0.500 0.500
Re 0.000 0.000 0.500
Re 0.000 0.500 0.000
Re 0.500 0.000 0.000